# 1
First-principles (PBE-GGA) data for a geometry-optimized LaBeCr2Ir structure, as listed in Alexandria.

a b c (Å): 4.3902 4.3902 4.5266
angles (deg): 90.00 90.00 90.00
Space group P4/mmm (No. 123)
One atom of each set of equivalent atoms:
La  0.0000  0.0000  0.0000
Be  0.0000  0.0000  0.5000
Cr  0.0000  0.5000  0.0000
Ir  0.5000  0.5000  0.5000

## Properties
Final energy, eV/atom: -5.13
E_form, eV per atom: 2.223

# 2
First-principles (PBE-GGA) data for a geometry-optimized BeCrNiIr structure, as listed in Alexandria.

a b c (Å): 5.7214 5.7214 5.7214
angles (deg): 90.00 90.00 90.00
Space group F-43m (No. 216)
One atom of each set of equivalent atoms:
Be  0.0000  0.0000  0.0000
Cr  0.0000  0.0000  0.5000
Ni  0.2500  0.2500  0.2500
Ir  0.2500  0.2500  0.7500

## Properties
Final energy, eV/atom: -7.19
E_form, eV per atom: -0.195